TlW2Se | PBE-GGA | optimized geometry

Unit cell a=4.7109 b=4.7109 c=6.0446 alpha=99.97 beta=99.97 gamma=40.26
Positions (direct):
Tl 0.0000 0.0000 0.0000
W 0.2316 0.2316 0.7143
W 0.5197 0.5197 0.5342
Se 0.7782 0.7782 0.3910

Values from the calculation:
The calculation puts the total energy at -7.25 eV per atom. The calculation puts the theoretical density at 12.7 g/cm³. The value obtained for the volume is 85.2 Å³ per cell. The uncorrected formation energy is 0.690 eV/atom. For the excess energy over the best structure of this formula in the dataset, the calculation gives 0.293 eV per atom.